Record 1
{"formula": "Ti2ZnNi", "functional": "PBE-GGA", "state": "relaxed", "density_g_cm3": 5.9, "e_tot_ha_per_atom": -0.2072, "sg": "I-42d", "cell": [[-3.5065, 3.5065, 2.5190], [3.5065, -3.5065, 2.5190], [3.5065, 3.5065, -2.5190]], "species": ["Ti", "Ti", "Ti", "Ti", "Zn", "Zn", "Ni", "Ni"], "fractional_positions": [[0.0875, 0.1250, 0.4625], [0.3750, 0.9125, 0.0375], [0.6625, 0.6250, 0.5375], [0.8750, 0.3375, 0.9625], [0.2500, 0.7500, 0.5000], [0.5000, 0.5000, 0.0000], [0.0000, 0.0000, 0.0000], [0.7500, 0.2500, 0.5000]]}

***

Record 2
{"formula": "TiZnNi", "functional": "PBE-GGA", "state": "relaxed", "density_g_cm3": 6.9, "e_tot_ha_per_atom": -0.1936, "sg": "I4mm", "cell": [[-1.5743, 1.5743, 4.1475], [1.5743, -1.5743, 4.1475], [1.5743, 1.5743, -4.1475]], "species": ["Ti", "Zn", "Ni"], "fractional_positions": [[0.0000, 0.0000, 0.0000], [0.3203, 0.3203, 0.0000], [0.6616, 0.6616, 0.0000]]}

***

Record 3
{"formula": "TiZn2Ni3", "functional": "PBE-GGA", "state": "relaxed", "density_g_cm3": 7.8, "e_tot_ha_per_atom": -0.1825, "sg": "P-3m1", "relative_energy_ev_per_fu": 0.000, "cell": [[4.1410, 0.0000, 0.0000], [-2.0705, 3.5862, 0.0000], [0.0000, 0.0000, 10.1161]], "species": ["Ti", "Ti", "Zn", "Zn", "Zn", "Zn", "Ni", "Ni", "Ni", "Ni", "Ni", "Ni"], "fractional_positions": [[0.3333, 0.6667, 0.1692], [0.6667, 0.3333, 0.8308], [0.0000, 0.0000, 0.0000], [0.0000, 0.0000, 0.5000], [0.3333, 0.6667, 0.6658], [0.6667, 0.3333, 0.3342], [0.0000, 0.0000, 0.2536], [0.0000, 0.0000, 0.7464], [0.3333, 0.6667, 0.4151], [0.3333, 0.6667, 0.9163], [0.6667, 0.3333, 0.0837], [0.6667, 0.3333, 0.5849]]}

***

Record 4
{"formula": "TiZnNi6", "functional": "PBE-GGA", "state": "relaxed", "density_g_cm3": 8.3, "e_tot_ha_per_atom": -0.2110, "sg": "P-6m2", "relative_energy_ev_per_fu": 0.361, "cell": [[5.1183, 0.0000, 0.0000], [-2.5592, 4.4326, 0.0000], [0.0000, 0.0000, 4.1012]], "species": ["Ti", "Zn", "Ni", "Ni", "Ni", "Ni", "Ni", "Ni"], "fractional_positions": [[0.0000, 0.0000, 0.0000], [0.6667, 0.3333, 0.5000], [0.0035, 0.5018, 0.0000], [0.1705, 0.3410, 0.5000], [0.1705, 0.8295, 0.5000], [0.4982, 0.5018, 0.0000], [0.4982, 0.9965, 0.0000], [0.6590, 0.8295, 0.5000]]}